No. 1
A plane-wave DFT calculation with GGA-PBEsol was carried out for crystalline La2Sn3Pb3 at its relaxed geometry.

Cell: 4.7934 4.7969 9.6013 Å, 90.00 90.00 90.00°
Element x y z (fractional)
La 0.0000 0.0000 0.2451
La 0.0000 0.0000 0.7549
Sn 0.0000 0.5000 0.0000
Sn 0.0000 0.5000 0.5000
Sn 0.5000 0.0000 0.0000
Pb 0.5000 0.0000 0.5000
Pb 0.5000 0.5000 0.2472
Pb 0.5000 0.5000 0.7528

Properties
Size of the total moment = 0.00 μB/atom
E_form = -0.546 eV/atom
Final energy = -39.8 eV per cell

---

No. 2
A plane-wave DFT calculation with GGA-PBEsol was carried out for crystalline TcRh at its relaxed geometry.

Cell: 4.2886 2.6735 4.7306 Å, 90.00 90.00 90.00°
Element x y z (fractional)
Tc 0.2500 0.0000 0.1617
Tc 0.7500 0.0000 0.8383
Rh 0.2500 0.5000 0.6658
Rh 0.7500 0.5000 0.3342

Properties
Size of the total moment = 0.00 μB/atom
E_form = -0.199 eV/atom
Final energy = -39.6 eV per cell
Distance to the lowest polymorph of the same formula = 0 meV per atom

---

No. 3
A plane-wave DFT calculation with GGA-PBEsol was carried out for crystalline BaTaW2 at its relaxed geometry.

Cell: 11.0703 11.0703 11.0703 Å, 15.18 15.18 15.18°
Element x y z (fractional)
Ba 0.0000 0.0000 0.0000
Ta 0.5000 0.5000 0.5000
W 0.2398 0.2398 0.2398
W 0.7602 0.7602 0.7602

Properties
Size of the total moment = 0.00 μB/atom
E_form = 1.180 eV/atom
Final energy = -37.6 eV per cell
Distance to the lowest polymorph of the same formula = 203 meV per atom

---

No. 4
A plane-wave DFT calculation with GGA-PBEsol was carried out for crystalline YCoB2 at its relaxed geometry.

Cell: 4.0004 4.0004 4.0004 Å, 60.00 60.00 60.00°
Element x y z (fractional)
Y 0.0000 0.0000 0.0000
Co 0.5000 0.5000 0.5000
B 0.2500 0.2500 0.2500
B 0.7500 0.7500 0.7500

Properties
Size of the total moment = 0.00 μB/atom
E_form = 0.277 eV/atom
Final energy = -27.5 eV per cell

---

No. 5
A plane-wave DFT calculation with GGA-PBEsol was carried out for crystalline Ta3OsCl at its relaxed geometry.

Cell: 4.4092 4.4092 4.4092 Å, 90.00 90.00 90.00°
Element x y z (fractional)
Ta 0.0000 0.0000 0.5000
Ta 0.0000 0.5000 0.0000
Ta 0.5000 0.0000 0.0000
Os 0.5000 0.5000 0.5000
Cl 0.0000 0.0000 0.0000

Properties
Size of the total moment = 0.00 μB/atom
ΔE_f (raw) = 1.0023 eV per atom
Final energy = -46.9 eV per cell

---

No. 6
A plane-wave DFT calculation with GGA-PBEsol was carried out for crystalline ZrIrPt at its relaxed geometry.

Cell: 4.3507 4.3507 4.3507 Å, 60.00 60.00 60.00°
Element x y z (fractional)
Zr 0.0000 0.0000 0.0000
Ir 0.5000 0.5000 0.5000
Pt 0.7500 0.7500 0.7500

Properties
Size of the total moment = 0.00 μB/atom
E_form = -0.201 eV/atom
Final energy = -26.5 eV per cell
Distance to the lowest polymorph of the same formula = 303 meV per atom

---

No. 7
A plane-wave DFT calculation with GGA-PBEsol was carried out for crystalline CaSbI2Cl at its relaxed geometry.

Cell: 5.6725 5.6725 5.2745 Å, 90.00 90.00 90.00°
Element x y z (fractional)
Ca 0.0000 0.0000 0.0000
Sb 0.5000 0.5000 0.0000
I 0.0000 0.5000 0.5000
I 0.5000 0.0000 0.5000
Cl 0.5000 0.5000 0.5000

Properties
Size of the total moment = 0.00 μB/atom
ΔE_f (raw) = -0.0863 eV per atom
Final energy = -12.7 eV per cell

---

No. 8
A plane-wave DFT calculation with GGA-PBEsol was carried out for crystalline Al2RhAu at its relaxed geometry.

Cell: 2.9772 2.9772 6.5370 Å, 90.00 90.00 90.00°
Element x y z (fractional)
Al 0.0000 0.0000 0.2278
Al 0.0000 0.0000 0.7722
Rh 0.5000 0.5000 0.0000
Au 0.5000 0.5000 0.5000

Properties
Size of the total moment = 0.00 μB/atom
E_form = -0.699 eV/atom
Final energy = -23.0 eV per cell
Distance to the lowest polymorph of the same formula = 0 meV per atom